Record 1
# La4TmTh3Se8

A relaxed structure of La4TmTh3Se8 (PBE, the Alexandria database).

Lattice parameters (Å, degrees): 8.4646 8.4646 20.7712 90.00 90.00 120.00
Space group R-3m (No. 166, hexagonal axes)
Symmetry-distinct sites (fractional):
La  0.0000  0.0000  0.0000
La  0.0000  0.5000  0.0000
Tm  0.0000  0.0000  0.5000
Th  0.0000  0.5000  0.5000
Se  0.0000  0.0000  0.2486
Se  0.0096  0.5048  0.2460

Magnetization   0.0 μB/f.u.
N(E_F)   22.7 states/eV/cell
Uncorrected formation energy   -1782 meV/atom
Density   7.93 Mg/m³



Record 2
# LaY2ThSe4

A relaxed structure of LaY2ThSe4 (PBE, the Alexandria database).

Lattice parameters (Å, degrees): 7.1625 4.1147 7.3570 90.00 108.85 90.00
Space group P2/m (No. 10)
Symmetry-distinct sites (fractional):
La  0.0000  0.0000  0.0000
Y  0.0000  0.5000  0.5000
Y  0.5000  0.0000  0.5000
Th  0.5000  0.5000  0.0000
Se  0.2475  0.0000  0.7350
Se  0.2582  0.5000  0.2667

Magnetization   0.0 μB/f.u.
N(E_F)   4.1 states/eV/cell
Uncorrected formation energy   -1761 meV/atom
Density   7.00 Mg/m³



Record 3
# La4YTh3Se8

A relaxed structure of La4YTh3Se8 (PBE, the Alexandria database).

Lattice parameters (Å, degrees): 8.4769 8.4769 20.8244 90.00 90.00 120.00
Space group R-3m (No. 166, hexagonal axes)
Symmetry-distinct sites (fractional):
La  0.0000  0.0000  0.0000
La  0.0000  0.5000  0.0000
Y  0.0000  0.0000  0.5000
Th  0.0000  0.5000  0.5000
Se  0.0000  0.0000  0.2485
Se  0.0061  0.5031  0.2467

Magnetization   0.0 μB/f.u.
N(E_F)   22.7 states/eV/cell
Uncorrected formation energy   -1797 meV/atom
Density   7.58 Mg/m³